[1]
This record from Alexandria describes Ce2ScO after structural relaxation. The functional is PBE.

```
Ce2ScO
1.0
-3.175 -0.366 -0.708
-1.069 -2.794 -1.330
-2.906 -4.517 7.797
Sc O Ce
1 1 2
Cartesian
0.000 0.000 0.000
-3.575 -3.839 2.880
-4.737 -4.306 0.767
-2.412 -3.371 4.992
```

As for the raw formation energy: -1119 meV per atom. As for the density of states at the Fermi level: 7.34 states/eV/f.u. The value obtained for the spin magnetization is 0.00 μB/cell. Its space-group type is R-3m (166).

---

[2]
This record from Alexandria describes CoNiHRh2 after structural relaxation. The functional is PBE.

```
CoNiHRh2
1.0
3.861 0.000 0.000
0.000 3.861 0.000
0.000 0.000 3.640
Rh Co Ni H
2 1 1 1
Cartesian
0.000 1.931 0.000
1.931 0.000 0.000
1.931 1.931 1.820
0.000 0.000 1.820
0.000 0.000 0.000
```

As for the density of states at the Fermi level: 5.35 states/eV/f.u. The value obtained for the spin magnetization is 4.09 μB/cell. Its space-group type is P4/mmm (123). The uncorrected energy comes out at -6.135 eV/atom.

---

[3]
This record from Alexandria describes Er2ScGe2 after structural relaxation. The functional is PBE.

```
Er2ScGe2
1.0
-3.572 -2.018 -1.001
1.072 -5.123 -2.404
-0.844 -4.596 3.368
Ge Sc Er
2 1 2
Cartesian
-0.007 -2.412 0.432
-3.337 -9.326 -0.470
-1.250 -3.571 -1.703
-1.449 -4.845 1.575
-1.895 -6.892 -1.613
```

As for the density of states at the Fermi level: 3.95 states/eV/f.u. The value obtained for the spin magnetization is 0.00 μB/cell. Its space-group type is Immm (71). The uncorrected energy comes out at -5.691 eV/atom.

---

[4]
This record from Alexandria describes EuPS3 after structural relaxation. The functional is PBE.

```
EuPS3
1.0
-5.153 -4.922 -2.592
-1.493 -1.748 6.289
-7.957 5.007 6.313
S Eu P
12 4 4
Cartesian
-5.881 -0.384 8.016
-11.580 -1.868 4.409
-9.569 0.257 7.467
-5.035 -1.920 2.543
-8.273 -2.348 5.650
-6.331 0.685 4.360
-1.711 -1.206 1.526
-12.893 -0.457 8.484
-4.215 -3.276 -0.896
-3.024 0.205 5.601
-10.389 1.613 10.907
-8.723 -1.279 1.994
-6.850 -3.460 0.610
-5.142 -2.012 5.556
-7.753 1.797 9.400
-9.462 0.349 4.454
-6.426 -5.578 3.560
-8.931 -1.668 7.457
-5.673 0.005 2.553
-8.178 3.915 6.450
```

As for the raw formation energy: -1092 meV per atom. The value obtained for the spin magnetization is 28.00 μB/cell. Its space-group type is P2_1/c (14).

---

[5]
This record from Alexandria describes BaLiRhS3 after structural relaxation. The functional is PBE.

```
BaLiRhS3
1.0
-1.749 -3.821 -5.029
3.102 -5.081 2.782
-6.748 0.999 1.588
Ba Rh S Li
2 2 6 2
Cartesian
-3.635 -3.555 -2.439
-1.760 -4.348 1.781
-0.998 -1.122 -0.935
-4.397 -6.782 0.277
-3.002 -1.716 0.213
-2.393 -6.187 -0.871
0.723 -1.185 0.649
-0.151 -3.096 -1.866
2.379 -3.896 2.133
1.504 -5.807 -0.381
-0.417 -5.601 -2.004
-4.978 -2.302 1.346
```

As for the raw formation energy: -1043 meV per atom. As for the density of states at the Fermi level: 2.89 states/eV/f.u. The value obtained for the spin magnetization is 0.00 μB/cell. Its space-group type is Cmcm (63).

---

[6]
This record from Alexandria describes Ba6CuNi after structural relaxation. The functional is PBE.

```
Ba6CuNi
1.0
-2.633 5.601 -4.834
0.589 -7.411 -2.529
-14.075 -2.676 4.566
Cu Ni Ba
2 2 12
Cartesian
-4.004 -3.743 -2.156
-12.115 -0.743 -0.641
0.000 0.000 0.000
-7.038 -1.338 2.283
-14.146 1.426 0.719
-4.933 -6.023 -0.008
-14.586 -1.774 -2.514
-5.977 -1.620 -0.646
-13.026 -2.911 1.629
-10.143 -2.866 -2.150
-9.605 0.127 1.261
-3.093 -1.576 -4.425
-6.514 -4.614 -4.057
-1.974 -5.912 -3.515
-11.187 1.537 -2.788
-1.533 -2.712 -0.283
```

As for the density of states at the Fermi level: 6.60 states/eV/f.u. The value obtained for the spin magnetization is 0.00 μB/cell. Its space-group type is P-31c (163). The uncorrected energy comes out at -2.670 eV/atom.

---

[7]
This record from Alexandria describes RbYCuSe3 after structural relaxation. The functional is PBE.

```
RbYCuSe3
1.0
4.098 0.000 0.000
0.000 9.411 -0.505
0.000 -2.991 9.427
Y Cu Se Rb
2 2 6 2
Cartesian
1.024 5.915 1.010
3.073 0.505 7.912
1.024 -1.014 5.650
3.073 7.434 3.272
3.073 0.164 4.976
1.024 -1.487 8.038
3.073 3.922 1.309
1.024 2.498 7.613
3.073 7.907 0.884
1.024 6.257 3.945
3.073 5.174 6.761
1.024 1.247 2.161
```

As for the raw formation energy: -1187 meV per atom. As for the density of states at the Fermi level: 4.42 states/eV/f.u. The value obtained for the spin magnetization is 0.00 μB/cell. Its space-group type is P2_1/m (11).

---

[8]
This record from Alexandria describes Ba2SiPt2 after structural relaxation. The functional is PBE.

```
Ba2SiPt2
1.0
7.117 0.000 0.000
0.000 7.117 0.000
0.000 0.000 5.012
Si Ba Pt
2 4 4
Cartesian
3.559 3.559 0.000
0.000 0.000 0.000
4.817 5.859 2.506
2.300 1.258 2.506
1.258 4.817 2.506
5.859 2.300 2.506
2.552 6.110 0.000
4.565 1.007 0.000
1.007 2.552 0.000
6.110 4.565 0.000
```

As for the raw formation energy: -436 meV per atom. As for the density of states at the Fermi level: 2.51 states/eV/f.u. The value obtained for the spin magnetization is 0.00 μB/cell. Its space-group type is P4/mbm (127).